The following is a DFT calculation (GGA-PBE) of crystalline Ca2La2Al at its relaxed geometry.

Lattice parameters (Å, degrees): 7.997 7.997 5.530 90.00 90.00 90.00
Space group P4/mbm (No. 127)
Unique sites:
Ca: 0.149 0.351 0.000 (multiplicity 4)
La: 0.162 0.662 0.500 (multiplicity 4)
Al: 0.000 0.000 0.000 (multiplicity 2)

Values from the calculation:
calculated volume	35.36	Å³ per atom
Fermi-level density of states	17.26	states/eV/cell
energy relative to the lowest polymorph listed for this composition	0.6	kJ/mol of atoms
energy of formation	0.1703	eV/atom
magnetic moment	0.006	μB per formula unit